Ba3Ge5 after structural relaxation, computed with PBE.

Unit cell a=6.7888 b=6.7888 c=10.4739 alpha=90.00 beta=90.00 gamma=100.50
With the nearest neighbours (Å) after each atom.
Sites, in units of the cell vectors:
Ba1 0.6554 0.6554 0.2500  9 Ge 3.40-3.71
Ba2 0.3446 0.3446 0.7500  9 Ge 3.40-3.71
Ba3 0.2099 0.7901 0.5000  10 Ge 3.41-3.63
Ba4 0.2099 0.7901 0.0000  10 Ge 3.41-3.63
Ba5 0.7901 0.2099 0.5000  10 Ge 3.41-3.63
Ba6 0.7901 0.2099 0.0000  10 Ge 3.41-3.63
Ge1 0.4668 0.1069 0.2500  3 Ge 2.65-2.66
Ge2 0.8931 0.5332 0.7500  3 Ge 2.65-2.66
Ge3 0.5332 0.8931 0.7500  3 Ge 2.65-2.66
Ge4 0.1069 0.4668 0.2500  3 Ge 2.65-2.66
Ge5 0.0704 0.0704 0.2500  4 Ge 2.66-2.71
Ge6 0.9296 0.9296 0.7500  4 Ge 2.66-2.71
Ge7 0.2972 0.2972 0.4279  3 Ge 2.65-2.71
Ge8 0.7028 0.7028 0.5721  3 Ge 2.65-2.71
Ge9 0.2972 0.2972 0.0721  3 Ge 2.65-2.71
Ge10 0.7028 0.7028 0.9279  3 Ge 2.65-2.71

The density of states at the Fermi level comes out at 0.429 states/eV/atom. The value obtained for the calculated formation energy is -0.55 eV/atom. The space group is Cmcm, No. 63. As for the total DFT energy (no corrections): -4.1604 eV per atom.


Ba3Ge4 after structural relaxation, computed with PBE.

Unit cell a=4.3449 b=5.0833 c=10.5071 alpha=104.00 beta=101.93 gamma=90.00
With the nearest neighbours (Å) after each atom.
Sites, in units of the cell vectors:
Ba1 0.5000 0.0000 0.0000  12 Ge 3.59-3.76
Ba2 0.1820 0.1820 0.3640  7 Ge 3.43-3.56
Ba3 0.8180 0.8180 0.6360  7 Ge 3.43-3.56
Ge1 0.0662 0.5662 0.1324  3 Ge 2.61-2.64
Ge2 0.9338 0.4338 0.8676  3 Ge 2.61-2.64
Ge3 0.6392 0.6392 0.2783  2 Ge 2.61
Ge4 0.3608 0.3608 0.7217  2 Ge 2.61

The density of states at the Fermi level comes out at 0.481 states/eV/atom. The value obtained for the calculated formation energy is -0.54 eV/atom. The space group is Immm, No. 71. As for the total DFT energy (no corrections): -4.0075 eV per atom.


BaGe after structural relaxation, computed with PBE.

Unit cell a=6.6807 b=6.7327 c=11.8691 alpha=90.00 beta=90.00 gamma=90.00
With the nearest neighbours (Å) after each atom.
Sites, in units of the cell vectors:
Ba1 0.8337 0.6564 0.2143  5 Ge 3.36-3.54
Ba2 0.3337 0.8436 0.7857  5 Ge 3.36-3.54
Ba3 0.1663 0.1564 0.2857  5 Ge 3.36-3.54
Ba4 0.6663 0.3436 0.7143  5 Ge 3.36-3.54
Ba5 0.0847 0.4018 0.9258  6 Ge 3.35-3.61
Ba6 0.5847 0.0982 0.0742  6 Ge 3.35-3.61
Ba7 0.9153 0.9018 0.5742  6 Ge 3.35-3.61
Ba8 0.4153 0.5982 0.4258  6 Ge 3.35-3.61
Ge1 0.3265 0.6597 0.1281  2 Ge 2.66-2.72
Ge2 0.8265 0.8403 0.8719  2 Ge 2.66-2.72
Ge3 0.6735 0.1597 0.3719  2 Ge 2.66-2.72
Ge4 0.1735 0.3403 0.6281  2 Ge 2.66-2.72
Ge5 0.4104 0.0609 0.5307  2 Ge 2.66-2.72
Ge6 0.9104 0.4391 0.4693  2 Ge 2.66-2.72
Ge7 0.5896 0.5609 0.9693  2 Ge 2.66-2.72
Ge8 0.0896 0.9391 0.0307  2 Ge 2.66-2.72

The density of states at the Fermi level comes out at 0.170 states/eV/atom. The value obtained for the calculated formation energy is -0.54 eV/atom. The space group is P2_12_12_1, No. 19. As for the total DFT energy (no corrections): -3.8083 eV per atom.


Ba4Ge after structural relaxation, computed with PBE.

Unit cell a=6.6232 b=6.6232 c=6.6232 alpha=90.00 beta=90.00 gamma=90.00
With the nearest neighbours (Å) after each atom.
Sites, in units of the cell vectors:
Ge1 0.5000 0.5000 0.5000  6 Ba 3.31
Ba1 0.0000 0.0000 0.0000  12 Ba 4.68
Ba2 0.5000 0.0000 0.5000  2 Ge 3.31
Ba3 0.0000 0.5000 0.5000  2 Ge 3.31
Ba4 0.5000 0.5000 0.0000  2 Ge 3.31

The density of states at the Fermi level comes out at 1.436 states/eV/atom. The value obtained for the calculated formation energy is -0.16 eV/atom. The space group is Pm-3m, No. 221. As for the total DFT energy (no corrections): -2.6173 eV per atom.